1.
Here is a geometry-optimized Al2SeF structure from Alexandria. Energies are from GGA-PBE.

```
data_Al2SeF
_symmetry_space_group_name_H-M 'I -4 2 d'
_symmetry_Int_Tables_number 122
_symmetry_space_group_name_Hall 'I -4 2bw'
_cell_length_a 4.606
_cell_length_b 4.606
_cell_length_c 14.268
_cell_angle_alpha 90.00
_cell_angle_beta 90.00
_cell_angle_gamma 90.00
loop_
_atom_site_label
_atom_site_fract_x
_atom_site_fract_y
_atom_site_fract_z
Al1 0.151 0.250 0.125
Se1 0.000 0.000 0.500
F1 0.000 0.000 0.000
```

Results
ΔE_f (raw) ... -878 meV per atom
Energy relative to the lowest polymorph listed for this composition ... 0 kJ/mol of formula units



2.
Here is a geometry-optimized CuMo2C structure from Alexandria. Energies are from GGA-PBE.

```
data_CuMo2C
_symmetry_space_group_name_H-M 'R -3 m'
_symmetry_Int_Tables_number 166
_symmetry_space_group_name_Hall '-R 3 2"'
_cell_length_a 2.9660
_cell_length_b 2.9660
_cell_length_c 22.9672
_cell_angle_alpha 90.00
_cell_angle_beta 90.00
_cell_angle_gamma 120.00
loop_
_atom_site_label
_atom_site_fract_x
_atom_site_fract_y
_atom_site_fract_z
Cu1 0.0000 0.0000 0.0000
Mo1 0.0000 0.0000 0.1149
C1 0.0000 0.0000 0.5000
```

Results
ΔH_f (0 K) ... 207 kJ/mol of formula units



3.
Here is a geometry-optimized LiZnRh structure from Alexandria. Energies are from GGA-PBE.

```
data_LiZnRh
_symmetry_space_group_name_H-M 'F m m 2'
_symmetry_Int_Tables_number 42
_symmetry_space_group_name_Hall 'F 2 -2'
_cell_length_a 2.857
_cell_length_b 4.543
_cell_length_c 13.178
_cell_angle_alpha 90.00
_cell_angle_beta 90.00
_cell_angle_gamma 90.00
loop_
_atom_site_label
_atom_site_fract_x
_atom_site_fract_y
_atom_site_fract_z
Li1 0.000 0.000 0.000
Zn1 0.000 0.000 0.676
Rh1 0.000 0.000 0.340
```

Results
ΔH_f (0 K) ... -43 kJ/mol of formula units
Energy relative to the lowest polymorph listed for this composition ... 50 kJ/mol of formula units



4.
Here is a geometry-optimized InIN2F structure from Alexandria. Energies are from GGA-PBE.

```
data_InIN2F
_symmetry_space_group_name_H-M 'P 4/m m m'
_symmetry_Int_Tables_number 123
_symmetry_space_group_name_Hall '-P 4 2'
_cell_length_a 4.396
_cell_length_b 4.396
_cell_length_c 4.173
_cell_angle_alpha 90.00
_cell_angle_beta 90.00
_cell_angle_gamma 90.00
loop_
_atom_site_label
_atom_site_fract_x
_atom_site_fract_y
_atom_site_fract_z
In1 0.000 0.000 0.000
I1 0.500 0.500 0.500
N1 0.000 0.500 0.000
F1 0.000 0.000 0.500
```

Results
ΔE_f (raw) ... 817 meV per atom
Energy relative to the lowest polymorph listed for this composition ... 0 kJ/mol of formula units



5.
Here is a geometry-optimized YAg2H structure from Alexandria. Energies are from GGA-PBE.

```
data_YAg2H
_symmetry_space_group_name_H-M 'I -4 2 d'
_symmetry_Int_Tables_number 122
_symmetry_space_group_name_Hall 'I -4 2bw'
_cell_length_a 5.980
_cell_length_b 5.980
_cell_length_c 8.214
_cell_angle_alpha 90.00
_cell_angle_beta 90.00
_cell_angle_gamma 90.00
loop_
_atom_site_label
_atom_site_fract_x
_atom_site_fract_y
_atom_site_fract_z
Y1 0.000 0.000 0.000
Ag1 0.048 0.250 0.625
H1 0.000 0.000 0.500
```

Results
Energy relative to the lowest polymorph listed for this composition ... 0 kJ/mol of formula units



6.
Here is a geometry-optimized Tb2NdEr3As6 structure from Alexandria. Energies are from GGA-PBE.

```
data_Tb2NdEr3As6
_symmetry_space_group_name_H-M 'C 1 2/m 1'
_symmetry_Int_Tables_number 12
_symmetry_space_group_name_Hall '-C 2y'
_cell_length_a 18.012
_cell_length_b 4.135
_cell_length_c 8.265
_cell_angle_alpha 90.00
_cell_angle_beta 103.22
_cell_angle_gamma 90.00
loop_
_atom_site_label
_atom_site_fract_x
_atom_site_fract_y
_atom_site_fract_z
Tb1 0.167 0.000 0.334
Nd1 0.000 0.500 0.000
Er1 0.000 0.500 0.500
Er2 0.166 0.000 0.832
As1 0.000 0.000 0.258
As2 0.166 0.500 0.585
As3 0.170 0.500 0.082
```

Results
ΔH_f (0 K) ... -1759 kJ/mol of formula units



7.
Here is a geometry-optimized PrLuZnCd structure from Alexandria. Energies are from GGA-PBE.

```
data_PrLuZnCd
_symmetry_space_group_name_H-M 'F -4 3 m'
_symmetry_Int_Tables_number 216
_symmetry_space_group_name_Hall 'F -4 2 3'
_cell_length_a 7.414
_cell_length_b 7.414
_cell_length_c 7.414
_cell_angle_alpha 90.00
_cell_angle_beta 90.00
_cell_angle_gamma 90.00
loop_
_atom_site_label
_atom_site_fract_x
_atom_site_fract_y
_atom_site_fract_z
Pr1 0.000 0.000 0.000
Lu1 0.000 0.000 0.500
Zn1 0.250 0.250 0.250
Cd1 0.250 0.250 0.750
```

Results
ΔH_f (0 K) ... -110 kJ/mol of formula units



8.
Here is a geometry-optimized CaLaMgZn structure from Alexandria. Energies are from GGA-PBE.

```
data_CaLaMgZn
_symmetry_space_group_name_H-M 'P 4 m m'
_symmetry_Int_Tables_number 99
_symmetry_space_group_name_Hall 'P 4 -2'
_cell_length_a 3.744
_cell_length_b 3.744
_cell_length_c 8.127
_cell_angle_alpha 90.00
_cell_angle_beta 90.00
_cell_angle_gamma 90.00
loop_
_atom_site_label
_atom_site_fract_x
_atom_site_fract_y
_atom_site_fract_z
Ca1 0.000 0.000 0.000
La1 0.000 0.000 0.447
Mg1 0.500 0.500 0.729
Zn1 0.500 0.500 0.220
```

Results
ΔH_f (0 K) ... -69 kJ/mol of formula units



9.
Here is a geometry-optimized Ti5NbMo6 structure from Alexandria. Energies are from GGA-PBE.

```
data_Ti5NbMo6
_symmetry_space_group_name_H-M 'C 1 2/m 1'
_symmetry_Int_Tables_number 12
_symmetry_space_group_name_Hall '-C 2y'
_cell_length_a 14.045
_cell_length_b 6.382
_cell_length_c 4.528
_cell_angle_alpha 90.00
_cell_angle_beta 108.56
_cell_angle_gamma 90.00
loop_
_atom_site_label
_atom_site_fract_x
_atom_site_fract_y
_atom_site_fract_z
Ti1 0.000 0.000 0.000
Ti2 0.166 0.000 0.666
Ti3 0.169 0.500 0.669
Nb1 0.000 0.500 0.000
Mo1 0.000 0.250 0.500
Mo2 0.167 0.250 0.167
```

Results
ΔH_f (0 K) ... -76 kJ/mol of formula units



10.
Here is a geometry-optimized AlRh2Br structure from Alexandria. Energies are from GGA-PBE.

```
data_AlRh2Br
_symmetry_space_group_name_H-M 'P 1 2/m 1'
_symmetry_Int_Tables_number 10
_symmetry_space_group_name_Hall '-P 2y'
_cell_length_a 3.115
_cell_length_b 2.980
_cell_length_c 7.231
_cell_angle_alpha 90.00
_cell_angle_beta 90.11
_cell_angle_gamma 90.00
loop_
_atom_site_label
_atom_site_fract_x
_atom_site_fract_y
_atom_site_fract_z
Al1 0.000 0.000 0.000
Rh1 0.499 0.500 0.805
Br1 0.500 0.000 0.500
```

Results
ΔE_f (raw) ... -317 meV per atom
Energy relative to the lowest polymorph listed for this composition ... 0 kJ/mol of formula units



11.
Here is a geometry-optimized Ta4Ge structure from Alexandria. Energies are from GGA-PBE.

```
data_Ta4Ge
_symmetry_space_group_name_H-M 'I 41/a'
_symmetry_Int_Tables_number 88
_cell_length_a 5.656
_cell_length_b 5.656
_cell_length_c 11.573
_cell_angle_alpha 90.00
_cell_angle_beta 90.00
_cell_angle_gamma 90.00
loop_
_symmetry_equiv_pos_as_xyz
'x,y,z'
'-x,-y,-z'
'-y+3/4,x+1/4,z+1/4'
'y+3/4,-x+1/4,-z+1/4'
'-x+1/2,-y,z+1/2'
'x+1/2,y,-z+1/2'
'y+3/4,-x+3/4,z+3/4'
'-y+3/4,x+3/4,-z+3/4'
'x+1/2,y+1/2,z+1/2'
'-x+1/2,-y+1/2,-z+1/2'
'-y+1/4,x+3/4,z+3/4'
'y+1/4,-x+3/4,-z+3/4'
'-x,-y+1/2,z'
'x,y+1/2,-z'
'y+1/4,-x+1/4,z+1/4'
'-y+1/4,x+1/4,-z+1/4'
loop_
_atom_site_label
_atom_site_fract_x
_atom_site_fract_y
_atom_site_fract_z
Ta1 0.153 0.014 0.198
Ge1 0.000 0.250 0.625
```

Results
ΔH_f (0 K) ... 35 kJ/mol of formula units
Energy relative to the lowest polymorph listed for this composition ... 0 kJ/mol of formula units



12.
Here is a geometry-optimized Ca2Mg2C structure from Alexandria. Energies are from GGA-PBE.

```
data_Ca2Mg2C
_symmetry_space_group_name_H-M 'P 4/m b m'
_symmetry_Int_Tables_number 127
_symmetry_space_group_name_Hall '-P 4 2ab'
_cell_length_a 6.774
_cell_length_b 6.774
_cell_length_c 5.907
_cell_angle_alpha 90.00
_cell_angle_beta 90.00
_cell_angle_gamma 90.00
loop_
_atom_site_label
_atom_site_fract_x
_atom_site_fract_y
_atom_site_fract_z
Ca1 0.180 0.320 0.000
Mg1 0.164 0.664 0.500
C1 0.000 0.000 0.000
```

Results
ΔH_f (0 K) ... 315 kJ/mol of formula units
Energy relative to the lowest polymorph listed for this composition ... 0 kJ/mol of formula units